VASP calculation (PBE-GGA) on crystalline CsTiPdF6 at its relaxed geometry. Values from VASP.

The structure in Quantum ESPRESSO input format:
```
&SYSTEM
  ibrav = 0, nat = 9, ntyp = 4
/
ATOMIC_SPECIES
Cs 132.91 Cs.upf
Ti 47.87 Ti.upf
Pd 106.42 Pd.upf
F 19.00 F.upf
CELL_PARAMETERS angstrom
-4.1575 0.2072 -4.2690
1.4799 -2.2227 -5.7118
-2.1369 -4.7460 1.8489
ATOMIC_POSITIONS crystal
Cs 0.9899 0.0202 0.0637
Ti 0.3381 0.3237 0.4933
Pd 0.6149 0.7697 0.5128
F 0.0068 0.5105 0.3769
F 0.2296 0.1011 0.6041
F 0.6691 0.1008 0.6040
F 0.2398 0.5214 0.7827
F 0.4828 0.5103 0.3765
F 0.4288 0.1424 0.1860
```

Output
SG: Cm, No. 8


VASP calculation (PBE-GGA) on crystalline Cs2TiPdF6 at its relaxed geometry. Values from VASP.

The structure in Quantum ESPRESSO input format:
```
&SYSTEM
  ibrav = 0, nat = 10, ntyp = 4
/
ATOMIC_SPECIES
Cs 132.91 Cs.upf
F 19.00 F.upf
Pd 106.42 Pd.upf
Ti 47.87 Ti.upf
CELL_PARAMETERS angstrom
7.0861 0.0000 0.0000
0.0000 7.0861 0.0000
3.5431 3.5431 4.0883
ATOMIC_POSITIONS crystal
Cs 0.7500 0.2500 0.5000
Cs 0.2500 0.7500 0.5000
F 0.2646 0.2646 0.4709
F 0.7354 0.7354 0.5291
F 0.3101 0.3101 0.0000
F 0.6899 0.6899 0.0000
F 0.6899 0.3101 0.0000
F 0.3101 0.6899 0.0000
Pd 0.0000 0.0000 0.0000
Ti 0.5000 0.5000 0.0000
```

Output
SG: I4/mmm, No. 139


VASP calculation (PBE-GGA) on crystalline Cs2Tl3PdF12 at its relaxed geometry. Values from VASP.

The structure in Quantum ESPRESSO input format:
```
&SYSTEM
  ibrav = 0, nat = 18, ntyp = 4
/
ATOMIC_SPECIES
Cs 132.91 Cs.upf
Tl 204.38 Tl.upf
Pd 106.42 Pd.upf
F 19.00 F.upf
CELL_PARAMETERS angstrom
-7.7604 -1.3987 1.8641
-1.9028 -1.7689 7.6750
-4.0045 5.5107 4.3877
ATOMIC_POSITIONS crystal
Cs 0.6424 0.6424 0.6424
Cs 0.3576 0.3576 0.3576
Tl 0.5000 0.0000 0.0000
Tl 0.0000 0.5000 0.0000
Tl 0.0000 0.0000 0.5000
Pd 0.0000 0.0000 0.0000
F 0.3308 0.3308 0.9359
F 0.9263 0.9263 0.3176
F 0.3176 0.9263 0.9263
F 0.9359 0.3308 0.3308
F 0.9263 0.3176 0.9263
F 0.3308 0.9359 0.3308
F 0.6692 0.6692 0.0641
F 0.0737 0.0737 0.6824
F 0.6824 0.0737 0.0737
F 0.0641 0.6692 0.6692
F 0.0737 0.6824 0.0737
F 0.6692 0.0641 0.6692
```

Output
SG: R-3m, No. 166


VASP calculation (PBE-GGA) on crystalline Cs2TlPdF6 at its relaxed geometry. Values from VASP.

The structure in Quantum ESPRESSO input format:
```
&SYSTEM
  ibrav = 0, nat = 10, ntyp = 4
/
ATOMIC_SPECIES
Cs 132.91 Cs.upf
Tl 204.38 Tl.upf
Pd 106.42 Pd.upf
F 19.00 F.upf
CELL_PARAMETERS angstrom
6.6052 0.0000 0.0000
3.3026 5.7202 0.0000
3.3026 1.9067 5.3931
ATOMIC_POSITIONS crystal
Cs 0.7500 0.7500 0.7500
Cs 0.2500 0.2500 0.2500
Tl 0.5000 0.5000 0.5000
Pd 0.0000 0.0000 0.0000
F 0.7752 0.2248 0.2248
F 0.2248 0.2248 0.7752
F 0.2248 0.7752 0.7752
F 0.2248 0.7752 0.2248
F 0.7752 0.2248 0.7752
F 0.7752 0.7752 0.2248
```

Output
SG: Fm-3m, No. 225


VASP calculation (PBE-GGA) on crystalline CsTmPdF6 at its relaxed geometry. Values from VASP.

The structure in Quantum ESPRESSO input format:
```
&SYSTEM
  ibrav = 0, nat = 18, ntyp = 4
/
ATOMIC_SPECIES
Cs 132.91 Cs.upf
Tm 168.93 Tm.upf
Pd 106.42 Pd.upf
F 19.00 F.upf
CELL_PARAMETERS angstrom
-1.3006 -7.3198 3.3849
5.8111 -3.0185 -4.2945
1.4359 6.4173 4.5722
ATOMIC_POSITIONS crystal
Cs 0.8495 0.5995 0.6990
Cs 0.1505 0.4005 0.3010
Tm 0.5000 0.0000 0.5000
Tm 0.0000 0.0000 0.5000
Pd 0.5000 0.5000 0.0000
Pd 0.5000 0.0000 0.0000
F 0.4157 0.6657 0.8315
F 0.8116 0.0616 0.6232
F 0.8282 0.0761 0.2537
F 0.4256 0.6776 0.2537
F 0.4256 0.0761 0.2537
F 0.8282 0.6776 0.2537
F 0.5843 0.3343 0.1685
F 0.1884 0.9384 0.3768
F 0.1718 0.9239 0.7463
F 0.5744 0.3224 0.7463
F 0.5744 0.9239 0.7463
F 0.1718 0.3224 0.7463
```

Output
SG: Imma, No. 74


VASP calculation (PBE-GGA) on crystalline Cs2TmPd3F12 at its relaxed geometry. Values from VASP.

The structure in Quantum ESPRESSO input format:
```
&SYSTEM
  ibrav = 0, nat = 18, ntyp = 4
/
ATOMIC_SPECIES
Cs 132.91 Cs.upf
Tm 168.93 Tm.upf
Pd 106.42 Pd.upf
F 19.00 F.upf
CELL_PARAMETERS angstrom
7.9952 0.1837 0.1303
4.1082 6.8615 0.1303
4.1082 2.3913 6.4326
ATOMIC_POSITIONS crystal
Cs 0.6205 0.6205 0.6205
Cs 0.3795 0.3795 0.3795
Tm 0.0000 0.0000 0.0000
Pd 0.5000 0.0000 0.0000
Pd 0.0000 0.5000 0.0000
Pd 0.0000 0.0000 0.5000
F 0.3259 0.3259 0.9225
F 0.9232 0.9232 0.3274
F 0.3274 0.9232 0.9232
F 0.9225 0.3259 0.3259
F 0.9232 0.3274 0.9232
F 0.3259 0.9225 0.3259
F 0.6741 0.6741 0.0775
F 0.0768 0.0768 0.6726
F 0.6726 0.0768 0.0768
F 0.0775 0.6741 0.6741
F 0.0768 0.6726 0.0768
F 0.6741 0.0775 0.6741
```

Output
SG: R-3m, No. 166


Per-record formation energy from raw total energies, eV/atom: -2.66; -2.65; -1.94; -2.06; -2.84; -2.23
Per-record calculated total energy, eV per atom: -5.46; -5.25; -3.97; -4.11; -5.26; -4.69